(1)
# Zn3RuO

Zn3RuO at its PBEsol-relaxed geometry (SCAN, Alexandria).

Cell lengths 4.015, 4.015, 4.015 Å; angles 90.00, 90.00, 90.00 degrees
Sites, in units of the cell vectors:
Zn1 0.000 0.500 0.000
Zn2 0.000 0.000 0.500
Zn3 0.500 0.000 0.000
Ru1 0.500 0.500 0.500
O1 0.000 0.000 0.000

Values from the calculation:
V: 64.7 Å³/f.u.
uncorrected formation energy: -33 meV per atom
SG: Pm-3m

=====

(2)
# ReH8Br6N2

ReH8Br6N2 at its PBEsol-relaxed geometry (SCAN, Alexandria).

Cell lengths 7.283, 7.283, 7.283 Å; angles 60.00, 60.00, 60.00 degrees
Sites, in units of the cell vectors:
Br1 0.243 0.757 0.757
Br2 0.243 0.243 0.757
Br3 0.243 0.757 0.243
Br4 0.757 0.243 0.243
Br5 0.757 0.243 0.757
Br6 0.757 0.757 0.243
H1 0.692 0.925 0.692
H2 0.075 0.308 0.308
H3 0.692 0.692 0.692
H4 0.692 0.692 0.925
H5 0.308 0.075 0.308
H6 0.308 0.308 0.075
H7 0.308 0.308 0.308
H8 0.925 0.692 0.692
Re1 0.000 0.000 0.000
N1 0.250 0.250 0.250
N2 0.750 0.750 0.750

Values from the calculation:
uncorrected energy: -243.14 eV/f.u.
V: 273.1 Å³/f.u.
SG: Fm-3m

=====

(3)
# Hf2SnMoBr

Hf2SnMoBr at its PBEsol-relaxed geometry (SCAN, Alexandria).

Cell lengths 5.005, 5.005, 5.164 Å; angles 90.00, 90.00, 90.00 degrees
Sites, in units of the cell vectors:
Br1 0.500 0.500 0.500
Hf1 0.000 0.500 0.000
Hf2 0.500 0.000 0.000
Sn1 0.000 0.000 0.500
Mo1 0.000 0.000 0.000

Values from the calculation:
V: 129.3 Å³/f.u.
uncorrected formation energy: 563 meV per atom
SG: P4/mmm

=====

(4)
# Na2Cu2Hg

Na2Cu2Hg at its PBEsol-relaxed geometry (SCAN, Alexandria).

Cell lengths 3.957, 3.957, 6.953 Å; angles 106.53, 106.53, 90.00 degrees
Sites, in units of the cell vectors:
Cu1 0.411 0.411 0.823
Cu2 0.589 0.589 0.177
Na1 0.750 0.250 0.500
Na2 0.250 0.750 0.500
Hg1 0.000 0.000 0.000

Values from the calculation:
V: 99.7 Å³/f.u.
SG: I4/mmm
formation enthalpy at 0 K: 2.20 eV per formula unit

=====

(5)
# CoMoPt

CoMoPt at its PBEsol-relaxed geometry (SCAN, Alexandria).

Cell lengths 2.671, 3.698, 4.643 Å; angles 113.47, 106.72, 90.00 degrees
Sites, in units of the cell vectors:
Co1 0.006 0.006 0.012
Pt1 0.336 0.336 0.671
Mo1 0.658 0.658 0.316

Values from the calculation:
V: 39.9 Å³/f.u.
SG: Imm2
formation enthalpy at 0 K: -0.41 eV per formula unit

=====

(6)
# MnS3F

MnS3F at its PBEsol-relaxed geometry (SCAN, Alexandria).

Cell lengths 4.346, 4.346, 4.346 Å; angles 90.00, 90.00, 90.00 degrees
Sites, in units of the cell vectors:
F1 0.000 0.000 0.000
S1 0.000 0.000 0.500
S2 0.000 0.500 0.000
S3 0.500 0.000 0.000
Mn1 0.500 0.500 0.500

Values from the calculation:
V: 82.1 Å³/f.u.
uncorrected formation energy: 540 meV per atom
SG: Pm-3m

=====

(7)
# LiCaSi

LiCaSi at its PBEsol-relaxed geometry (SCAN, Alexandria).

Cell lengths 4.806, 4.806, 4.806 Å; angles 60.00, 60.00, 60.00 degrees
Sites, in units of the cell vectors:
Ca1 0.750 0.750 0.750
Si1 0.500 0.500 0.500
Li1 0.000 0.000 0.000

Values from the calculation:
V: 78.5 Å³/f.u.
uncorrected formation energy: 316 meV per atom
SG: F-43m

=====

(8)
# CaBe3Pd

CaBe3Pd at its PBEsol-relaxed geometry (SCAN, Alexandria).

Cell lengths 4.304, 4.304, 4.304 Å; angles 90.00, 90.00, 90.00 degrees
Sites, in units of the cell vectors:
Pd1 0.000 0.000 0.000
Be1 0.000 0.500 0.000
Be2 0.000 0.000 0.500
Be3 0.500 0.000 0.000
Ca1 0.500 0.500 0.500

Values from the calculation:
V: 79.7 Å³/f.u.
SG: Pm-3m
formation enthalpy at 0 K: -0.40 eV per formula unit

=====

(9)
# SOF2

SOF2 at its PBEsol-relaxed geometry (SCAN, Alexandria).

Cell lengths 2.681, 2.681, 8.488 Å; angles 80.91, 80.91, 60.00 degrees
Sites, in units of the cell vectors:
S1 0.000 0.000 0.000
F1 0.067 0.067 0.799
F2 0.933 0.933 0.201
O1 0.500 0.500 0.500

Values from the calculation:
V: 51.9 Å³/f.u.
ΔE to the lowest computed polymorph: 1536 meV/atom
uncorrected formation energy: -96 meV per atom
SG: R-3m

=====

(10)
# NaAg2Se2

NaAg2Se2 at its PBEsol-relaxed geometry (SCAN, Alexandria).

Cell lengths 4.125, 4.125, 7.056 Å; angles 106.99, 106.99, 90.00 degrees
Sites, in units of the cell vectors:
Na1 0.000 0.000 0.000
Ag1 0.750 0.250 0.500
Ag2 0.250 0.750 0.500
Se1 0.617 0.617 0.234
Se2 0.383 0.383 0.766

Values from the calculation:
V: 109.3 Å³/f.u.
uncorrected formation energy: -380 meV per atom
SG: I4/mmm

=====

(11)
# BaLaHg3

BaLaHg3 at its PBEsol-relaxed geometry (SCAN, Alexandria).

Cell lengths 5.783, 5.783, 5.783 Å; angles 90.00, 90.00, 90.00 degrees
Sites, in units of the cell vectors:
La1 0.500 0.500 0.500
Hg1 0.500 0.000 0.000
Hg2 0.000 0.000 0.500
Hg3 0.000 0.500 0.000
Ba1 0.000 0.000 0.000

Values from the calculation:
V: 193.4 Å³/f.u.
SG: Pm-3m
formation enthalpy at 0 K: 1.12 eV per formula unit

=====

(12)
# CdSi

CdSi at its PBEsol-relaxed geometry (SCAN, Alexandria).

Cell lengths 4.265, 5.995, 5.995 Å; angles 120.00, 90.00, 90.00 degrees
Sites, in units of the cell vectors:
Cd1 0.000 0.000 0.500
Cd2 0.000 0.500 0.000
Cd3 0.000 0.500 0.500
Si1 0.500 0.667 0.333
Si2 0.500 0.333 0.667
Si3 0.000 0.000 0.000

Values from the calculation:
V: 44.2 Å³/f.u.
uncorrected formation energy: 829 meV per atom
SG: P6/mmm